[1]
Below is an optimized crystal structure of CaTc4Sb, with properties calculated at the PBE-GGA level.

The structure in POSCAR format:
```
CaTc4Sb
1.0
4.371 1.519 2.621
-0.060 4.445 2.919
0.158 -0.302 5.307
Ca Tc Sb
1 4 1
Cartesian
3.352 4.246 8.135
3.876 2.883 5.378
1.751 1.964 6.733
1.641 4.359 5.528
1.671 2.117 4.056
0.000 0.000 0.000
```

space group = F-43m
formation energy from raw total energies = 0.2815 eV/atom
E_tot = -45.90 eV for the cell shown

[2]
Below is an optimized crystal structure of YAlZn, with properties calculated at the PBE-GGA level.

The structure in POSCAR format:
```
YAlZn
1.0
-4.483 -0.120 -3.211
4.981 -0.688 -2.268
2.822 -4.623 0.939
Y Zn Al
2 2 2
Cartesian
2.182 -2.585 -2.285
-0.865 -1.272 -2.755
5.391 -2.213 -2.048
6.802 -4.525 -1.579
4.311 -4.180 -0.445
4.560 -4.584 -3.185
```

formation enthalpy at 0 K = -0.44 eV/atom
space group = Imma
E_tot = -25.62 eV for the cell shown

[3]
Below is an optimized crystal structure of LaNbTl3, with properties calculated at the PBE-GGA level.

The structure in POSCAR format:
```
LaNbTl3
1.0
5.869 0.000 0.000
0.000 5.869 0.000
0.000 0.000 5.869
Tl Nb La
3 1 1
Cartesian
0.000 2.934 0.000
0.000 0.000 2.934
2.934 0.000 0.000
2.934 2.934 2.934
0.000 0.000 0.000
```

formation enthalpy at 0 K = 1.62 eV/atom
space group = Pm-3m
E_tot = -14.00 eV for the cell shown
energy relative to the lowest polymorph listed for this composition = 667 kJ/mol of formula units

- Look up the E_tot of the second one.
  -25.62 eV for the cell shown